# CsScB2Au (PBE-GGA, optimized geometry)
# Electronic total energy   -3.181 eV per atom
# Energy of formation from the pure elements   1582 meV per atom
data_CsScB2Au
_chemical_formula_sum 'Cs1 Sc1 B2 Au1'
_cell_length_a 4.734
_cell_length_b 4.734
_cell_length_c 9.812
_cell_angle_alpha 90.00
_cell_angle_beta 90.00
_cell_angle_gamma 90.00
_space_group_name_H-M_alt 'P 4/m m m'
_space_group_IT_number 123
_space_group_name_Hall '-P 4 2'
loop_
_atom_site_label
_atom_site_type_symbol
_atom_site_fract_x
_atom_site_fract_y
_atom_site_fract_z
_atom_site_occupancy
Cs1 Cs 0.000 0.000 0.000 1
Sc1 Sc 0.000 0.000 0.500 1
B1 B 0.000 0.500 0.500 1
Au1 Au 0.500 0.500 0.000 1